The following is a PBE calculation of a relaxed structure of TiOsO5, from the Alexandria database.

Output
For the total energy, the calculation gives -55.5 eV/cell.

Unit cell a=3.541 b=5.310 c=5.310 alpha=73.94 beta=70.52 gamma=70.52
Element x y z (fractional)
O 0.729 0.271 0.271
Os 0.500 0.500 0.500
O 0.000 0.314 0.686
O 0.271 0.729 0.729
O 0.500 0.000 0.000
Ti 0.000 0.000 0.000
O 0.000 0.686 0.314